# GGA-PBE Te3PCl, relaxed
data_Te3PCl
_chemical_formula_sum 'Te3 P1 Cl1'
_cell_length_a 5.249
_cell_length_b 5.249
_cell_length_c 5.249
_cell_angle_alpha 90.00
_cell_angle_beta 90.00
_cell_angle_gamma 90.00
_space_group_name_H-M_alt 'P m -3 m'
_space_group_IT_number 221
_space_group_name_Hall '-P 4 2 3'
loop_
_atom_site_label
_atom_site_type_symbol
_atom_site_fract_x
_atom_site_fract_y
_atom_site_fract_z
Te1 Te 0.000 0.000 0.500
P1 P 0.000 0.000 0.000
Cl1 Cl 0.500 0.500 0.500
# **Distance to the lowest polymorph of the same formula**: 516 meV/atom
# **Formation energy (no corrections)**: 454 meV per atom